The following is a PBE-GGA calculation of a geometry-optimized Pm8Mg2Al structure, from Alexandria.

Calculated values
- total magnetic moment (μB/f.u.) = 0.0
- ρ (g cm⁻³) = 6.0
- calculated total energy (eV/atom) = -4.10
- calculated volume (Å³ per cell) = 689.2

abc: 18.2768 5.4253 7.2846
angles: 90.00 107.41 90.00
Space group C2/m (No. 12)
Inequivalent atoms, fractional coordinates:
Pm: 0.0200 0.0000 0.2686 x4
Pm: 0.0934 0.5000 0.9494 x4
Pm: 0.1618 0.5000 0.4518 x4
Pm: 0.1915 0.0000 0.7716 x4
Mg: 0.1866 0.0000 0.2012 x4
Al: 0.0000 0.5000 0.5000 x2

=====

The following is a PBE-GGA calculation of a geometry-optimized Pm2MgAl structure, from Alexandria.

Calculated values
- total magnetic moment (μB/f.u.) = 0.0
- ρ (g cm⁻³) = 5.3
- energy above the most stable polymorph in this dataset (eV/atom) = 0.000
- calculated volume (Å³ per cell) = 428.6

abc: 7.5396 7.5396 7.5396
angles: 90.00 90.00 90.00
Space group Fm-3m (No. 225)
Inequivalent atoms, fractional coordinates:
Pm: 0.2500 0.2500 0.2500 x8
Mg: 0.0000 0.0000 0.0000 x4
Al: 0.0000 0.0000 0.5000 x4

=====

The following is a PBE-GGA calculation of a geometry-optimized Pm3Mg2Al structure, from Alexandria.

Calculated values
- total magnetic moment (μB/f.u.) = 0.0
- ρ (g cm⁻³) = 5.2
- energy above the most stable polymorph in this dataset (eV/atom) = 0.000
- calculated volume (Å³ per cell) = 164.5

abc: 5.3720 5.3720 6.5827
angles: 90.00 90.00 120.00
Space group P-3m1 (No. 164)
Inequivalent atoms, fractional coordinates:
Pm: 0.0000 0.0000 0.0000 x1
Pm: 0.3333 0.6667 0.6596 x2
Mg: 0.3333 0.6667 0.1584 x2
Al: 0.0000 0.0000 0.5000 x1

=====

The following is a PBE-GGA calculation of a geometry-optimized Pm2Mg3Al2 structure, from Alexandria.

Calculated values
- total magnetic moment (μB/f.u.) = 0.0
- ρ (g cm⁻³) = 3.9
- calculated total energy (eV/atom) = -3.32
- calculated volume (Å³ per cell) = 352.8

abc: 11.0628 4.6742 7.0170
angles: 90.00 103.52 90.00
Space group C2/m (No. 12)
Inequivalent atoms, fractional coordinates:
Pm: 0.1194 0.0000 0.3609 x4
Mg: 0.0000 0.5000 0.0000 x2
Mg: 0.1917 0.0000 0.8728 x4
Al: 0.0948 0.5000 0.6592 x4

=====

The following is a PBE-GGA calculation of a geometry-optimized Pm4MgAl2 structure, from Alexandria.

Calculated values
- total magnetic moment (μB/f.u.) = 0.0
- ρ (g cm⁻³) = 5.5
- energy above the most stable polymorph in this dataset (eV/atom) = 0.000
- calculated volume (Å³ per cell) = 600.9

abc: 5.2487 5.2487 25.1860
angles: 90.00 90.00 120.00
Space group R-3m (No. 166, hexagonal axes)
Inequivalent atoms, fractional coordinates:
Pm: 0.0000 0.0000 0.1147 x6
Pm: 0.0000 0.0000 0.3679 x6
Mg: 0.0000 0.0000 0.5000 x3
Al: 0.0000 0.0000 0.2428 x6

=====

The following is a PBE-GGA calculation of a geometry-optimized PmMg3Al8 structure, from Alexandria.

Calculated values
- total magnetic moment (μB/f.u.) = 0.0
- ρ (g cm⁻³) = 3.1
- calculated total energy (eV/atom) = -3.44
- calculated volume (Å³ per cell) = 233.4

abc: 5.5363 5.5363 8.7928
angles: 90.00 90.00 120.00
Space group P3m1 (No. 156)
Inequivalent atoms, fractional coordinates:
Pm: 0.0000 0.0000 0.0000 x1
Mg: 0.0000 0.0000 0.3770 x1
Mg: 0.6667 0.3333 0.4981 x1
Mg: 0.6667 0.3333 0.8636 x1
Al: 0.1626 0.3253 0.6824 x3
Al: 0.3333 0.6667 0.4406 x1
Al: 0.3333 0.6667 0.9348 x1
Al: 0.5038 0.0076 0.1865 x3

=====

The following is a PBE-GGA calculation of a geometry-optimized Pm2MgAl structure, from Alexandria.

Calculated values
- total magnetic moment (μB/f.u.) = 0.0
- ρ (g cm⁻³) = 5.3
- energy above the most stable polymorph in this dataset (eV/atom) = 0.021
- calculated volume (Å³ per cell) = 107.4

abc: 5.2930 5.2930 3.8321
angles: 90.00 90.00 90.00
Space group P4/mmm (No. 123)
Inequivalent atoms, fractional coordinates:
Pm: 0.0000 0.5000 0.0000 x2
Mg: 0.0000 0.0000 0.5000 x1
Al: 0.5000 0.5000 0.5000 x1

=====

The following is a PBE-GGA calculation of a geometry-optimized PmMg2Al structure, from Alexandria.

Calculated values
- total magnetic moment (μB/f.u.) = 0.0
- ρ (g cm⁻³) = 3.8
- energy above the most stable polymorph in this dataset (eV/atom) = 0.000
- calculated volume (Å³ per cell) = 96.7

abc: 4.4680 4.4680 4.8426
angles: 90.00 90.00 90.00
Space group P4/mmm (No. 123)
Inequivalent atoms, fractional coordinates:
Pm: 0.0000 0.0000 0.0000 x1
Mg: 0.0000 0.5000 0.5000 x2
Al: 0.5000 0.5000 0.0000 x1

=====

The following is a PBE-GGA calculation of a geometry-optimized PmMg2Al structure, from Alexandria.

Calculated values
- total magnetic moment (μB/f.u.) = 0.0
- ρ (g cm⁻³) = 4.0
- energy above the most stable polymorph in this dataset (eV/atom) = 0.112
- calculated volume (Å³ per cell) = 365.5

abc: 7.1499 7.1499 7.1499
angles: 90.00 90.00 90.00
Space group Fm-3m (No. 225)
Inequivalent atoms, fractional coordinates:
Pm: 0.0000 0.0000 0.0000 x4
Mg: 0.2500 0.2500 0.2500 x8
Al: 0.0000 0.0000 0.5000 x4

=====

The following is a PBE-GGA calculation of a geometry-optimized Pm8MgAl2 structure, from Alexandria.

Calculated values
- total magnetic moment (μB/f.u.) = 0.0
- ρ (g cm⁻³) = 6.2
- calculated total energy (eV/atom) = -4.39
- calculated volume (Å³ per cell) = 667.2

abc: 17.5248 5.0224 8.0347
angles: 90.00 109.37 90.00
Space group C2/m (No. 12)
Inequivalent atoms, fractional coordinates:
Pm: 0.0418 0.0000 0.2337 x4
Pm: 0.1031 0.5000 0.9638 x4
Pm: 0.1715 0.0000 0.7511 x4
Pm: 0.1763 0.5000 0.4332 x4
Mg: 0.0000 0.5000 0.5000 x2
Al: 0.2112 0.0000 0.1709 x4

=====

The following is a PBE-GGA calculation of a geometry-optimized Pm5Mg4Al4 structure, from Alexandria.

Calculated values
- total magnetic moment (μB/f.u.) = 0.0
- ρ (g cm⁻³) = 4.5
- calculated total energy (eV/atom) = -3.70
- calculated volume (Å³ per cell) = 680.4

abc: 12.2179 12.2179 4.5576
angles: 90.00 90.00 90.00
Space group I4/m (No. 87)
Inequivalent atoms, fractional coordinates:
Pm: 0.0000 0.0000 0.0000 x2
Pm: 0.1301 0.2018 0.5000 x8
Mg: 0.0806 0.6062 0.5000 x8
Al: 0.0584 0.7479 0.0000 x8

=====

The following is a PBE-GGA calculation of a geometry-optimized Pm2Mg2Al structure, from Alexandria.

Calculated values
- total magnetic moment (μB/f.u.) = 0.0
- ρ (g cm⁻³) = 4.7
- calculated total energy (eV/atom) = -3.41
- calculated volume (Å³ per cell) = 260.0

abc: 4.9525 15.7489 3.3341
angles: 90.00 90.00 90.00
Space group Cmmm (No. 65)
Inequivalent atoms, fractional coordinates:
Pm: 0.0000 0.1047 0.0000 x4
Mg: 0.0000 0.3002 0.5000 x4
Al: 0.0000 0.5000 0.5000 x2

=====

The following is a PBE-GGA calculation of a geometry-optimized Pm4Mg2Al structure, from Alexandria.

Calculated values
- total magnetic moment (μB/f.u.) = 0.0
- ρ (g cm⁻³) = 5.2
- calculated total energy (eV/atom) = -3.71
- calculated volume (Å³ per cell) = 631.1

abc: 5.3171 5.3171 25.7779
angles: 90.00 90.00 120.00
Space group R-3m (No. 166, hexagonal axes)
Inequivalent atoms, fractional coordinates:
Pm: 0.0000 0.0000 0.1207 x6
Pm: 0.0000 0.0000 0.3729 x6
Mg: 0.0000 0.0000 0.2452 x6
Al: 0.0000 0.0000 0.5000 x3

=====

The following is a PBE-GGA calculation of a geometry-optimized Pm2MgAl2 structure, from Alexandria.

Calculated values
- total magnetic moment (μB/f.u.) = 0.0
- ρ (g cm⁻³) = 4.8
- calculated total energy (eV/atom) = -4.05
- calculated volume (Å³ per cell) = 256.1

abc: 4.5077 15.2289 3.7312
angles: 90.00 90.00 90.00
Space group Cmmm (No. 65)
Inequivalent atoms, fractional coordinates:
Pm: 0.0000 0.1247 0.0000 x4
Mg: 0.0000 0.5000 0.5000 x2
Al: 0.0000 0.2969 0.5000 x4

=====

The following is a PBE-GGA calculation of a geometry-optimized Pm3Mg7Al2 structure, from Alexandria.

Calculated values
- total magnetic moment (μB/f.u.) = 0.0
- ρ (g cm⁻³) = 3.6
- calculated total energy (eV/atom) = -2.85
- calculated volume (Å³ per cell) = 899.7

abc: 6.0132 6.0132 28.7327
angles: 90.00 90.00 120.00
Space group R-3m (No. 166, hexagonal axes)
Inequivalent atoms, fractional coordinates:
Pm: 0.0000 0.0000 0.0000 x3
Pm: 0.0000 0.0000 0.1445 x6
Mg: 0.0000 0.0000 0.5000 x3
Mg: 0.0040 0.5020 0.9202 x18
Al: 0.0000 0.0000 0.3342 x6

=====

The following is a PBE-GGA calculation of a geometry-optimized Pm3Mg2Al structure, from Alexandria.

Calculated values
- total magnetic moment (μB/f.u.) = 0.0
- ρ (g cm⁻³) = 5.1
- energy above the most stable polymorph in this dataset (eV/atom) = 0.009
- calculated volume (Å³ per cell) = 165.9

abc: 3.7747 3.7747 11.6461
angles: 90.00 90.00 90.00
Space group P4/mmm (No. 123)
Inequivalent atoms, fractional coordinates:
Pm: 0.0000 0.0000 0.0000 x1
Pm: 0.0000 0.0000 0.3463 x2
Mg: 0.5000 0.5000 0.1705 x2
Al: 0.5000 0.5000 0.5000 x1

=====

The following is a PBE-GGA calculation of a geometry-optimized Pm2Mg3Al4 structure, from Alexandria.

Calculated values
- total magnetic moment (μB/f.u.) = 0.0
- ρ (g cm⁻³) = 3.8
- calculated total energy (eV/atom) = -3.48
- calculated volume (Å³ per cell) = 818.9

abc: 6.0663 17.0775 7.9048
angles: 90.00 90.00 90.00
Space group Cmce (No. 64)
Inequivalent atoms, fractional coordinates:
Pm: 0.0000 0.0956 0.1019 x8
Mg: 0.0000 0.0000 0.5000 x4
Mg: 0.2500 0.2416 0.7500 x8
Al: 0.0000 0.1623 0.4927 x8
Al: 0.2500 0.0739 0.7500 x8

=====

The following is a PBE-GGA calculation of a geometry-optimized Pm6Mg5Al structure, from Alexandria.

Calculated values
- total magnetic moment (μB/f.u.) = 0.0
- ρ (g cm⁻³) = 5.0
- calculated total energy (eV/atom) = -3.51
- calculated volume (Å³ per cell) = 676.7

abc: 5.4069 16.2396 7.7067
angles: 90.00 90.00 90.00
Space group Cmmm (No. 65)
Inequivalent atoms, fractional coordinates:
Pm: 0.0000 0.0000 0.2401 x4
Pm: 0.0000 0.3375 0.2435 x8
Mg: 0.0000 0.1680 0.5000 x4
Mg: 0.0000 0.1698 0.0000 x4
Mg: 0.0000 0.5000 0.5000 x2
Al: 0.0000 0.5000 0.0000 x2

=====

The following is a PBE-GGA calculation of a geometry-optimized PmMgAlPt2 structure, from Alexandria.

Calculated values
- total magnetic moment (μB/f.u.) = 0.0
- ρ (g cm⁻³) = 9.8
- calculated total energy (eV/atom) = -5.42
- calculated volume (Å³ per cell) = 199.6

abc: 4.0710 4.0710 12.0433
angles: 90.00 90.00 90.00
Space group I-4m2 (No. 119)
Inequivalent atoms, fractional coordinates:
Pm: 0.0000 0.0000 0.0000 x2
Mg: 0.0000 0.5000 0.7500 x2
Al: 0.0000 0.5000 0.2500 x2
Pt: 0.0000 0.0000 0.3861 x4

=====

The following is a PBE-GGA calculation of a geometry-optimized Pm2MgAl4Pt3 structure, from Alexandria.

Calculated values
- total magnetic moment (μB/f.u.) = 0.0
- ρ (g cm⁻³) = 8.5
- calculated total energy (eV/atom) = -5.36
- calculated volume (Å³ per cell) = 197.3

abc: 4.2345 4.2345 11.0023
angles: 90.00 90.00 90.00
Space group P-4m2 (No. 115)
Inequivalent atoms, fractional coordinates:
Pm: 0.0000 0.5000 0.2371 x2
Mg: 0.0000 0.0000 0.5000 x1
Al: 0.0000 0.0000 0.0000 x1
Al: 0.0000 0.5000 0.6459 x2
Al: 0.5000 0.5000 0.0000 x1
Pt: 0.0000 0.5000 0.8713 x2
Pt: 0.5000 0.5000 0.5000 x1

=====

The following is a PBE-GGA calculation of a geometry-optimized Pm2MgAlPt6 structure, from Alexandria.

Calculated values
- total magnetic moment (μB/f.u.) = 0.0
- ρ (g cm⁻³) = 11.2
- calculated total energy (eV/atom) = -5.97
- calculated volume (Å³ per cell) = 673.4

abc: 5.6570 5.6570 24.2984
angles: 90.00 90.00 120.00
Space group R-3m (No. 166, hexagonal axes)
Inequivalent atoms, fractional coordinates:
Pm: 0.0000 0.0000 0.2030 x6
Mg: 0.0000 0.0000 0.0000 x3
Al: 0.0000 0.0000 0.5000 x3
Pt: 0.0039 0.5019 0.7572 x18

=====

The following is a PBE-GGA calculation of a geometry-optimized PmMgAlPt3 structure, from Alexandria.

Calculated values
- total magnetic moment (μB/f.u.) = 0.0
- ρ (g cm⁻³) = 10.7
- calculated total energy (eV/atom) = -5.42
- calculated volume (Å³ per cell) = 484.9

abc: 7.0124 12.0886 5.7205
angles: 90.00 90.00 90.00
Space group Cmcm (No. 63)
Inequivalent atoms, fractional coordinates:
Pm: 0.0000 0.1953 0.2500 x4
Mg: 0.0000 0.4527 0.2500 x4
Al: 0.0000 0.1239 0.7500 x4
Pt: 0.0000 0.3228 0.7500 x4
Pt: 0.2038 0.0000 0.0000 x8

=====

The following is a PBE-GGA calculation of a geometry-optimized PmMg2AlPt4 structure, from Alexandria.

Calculated values
- total magnetic moment (μB/f.u.) = 0.0
- ρ (g cm⁻³) = 11.5
- calculated total energy (eV/atom) = -5.43
- calculated volume (Å³ per cell) = 432.0

abc: 4.4646 4.4646 25.0288
angles: 90.00 90.00 120.00
Space group R-3m (No. 166, hexagonal axes)
Inequivalent atoms, fractional coordinates:
Pm: 0.0000 0.0000 0.0000 x3
Mg: 0.0000 0.0000 0.2425 x6
Al: 0.0000 0.0000 0.5000 x3
Pt: 0.0000 0.0000 0.1335 x6
Pt: 0.0000 0.0000 0.3997 x6

=====

The following is a PBE-GGA calculation of a geometry-optimized PmMgAlPt structure, from Alexandria.

Calculated values
- total magnetic moment (μB/f.u.) = 0.0
- ρ (g cm⁻³) = 7.9
- calculated total energy (eV/atom) = -4.64
- calculated volume (Å³ per cell) = 330.5

abc: 6.9139 6.9139 6.9139
angles: 90.00 90.00 90.00
Space group F-43m (No. 216)
Inequivalent atoms, fractional coordinates:
Pm: 0.0000 0.0000 0.0000 x4
Mg: 0.0000 0.0000 0.5000 x4
Al: 0.2500 0.2500 0.2500 x4
Pt: 0.2500 0.2500 0.7500 x4